A relaxed Ca2GdY crystal, computed with PBE.

Cell lengths 8.3155, 8.3155, 8.3155 Å; angles 90.00, 90.00, 90.00 degrees
Closest atoms and distances in Å follow each position.
Space group Fm-3m (No. 225)
Asymmetric unit:
Ca: 0.2500 0.2500 0.2500 [8 per cell]  4 Gd 3.60, 4 Y 3.60
Gd: 0.0000 0.0000 0.0000 [4 per cell]  8 Ca 3.60
Y: 0.0000 0.0000 0.5000 [4 per cell]  8 Ca 3.60

Output
The value obtained for the density is 3.77 Mg/m³. Its spin magnetization is 30.6 μB/cell. For the energy, the calculation gives -5.97 eV/atom. The offset from the most stable computed form comes out at 18 meV/atom. The formation enthalpy at 0 K comes out at 3.8 kcal/mol of atoms.

A relaxed CaGdY2 crystal, computed with PBE.

Cell lengths 3.6426, 3.6426, 10.3539 Å; angles 90.00, 90.00, 90.00 degrees
Closest atoms and distances in Å follow each position.
Space group P4/mmm (No. 123)
Asymmetric unit:
Ca: 0.0000 0.0000 0.0000 [1 per cell]  4 Ca 3.64, 8 Y 3.79
Gd: 0.0000 0.0000 0.5000 [1 per cell]  8 Y 3.52, 4 Gd 3.64
Y: 0.5000 0.5000 0.2681 [2 per cell]  4 Gd 3.52, 4 Y 3.64, 4 Ca 3.79

Output
The value obtained for the density is 4.53 Mg/m³. Its spin magnetization is 6.8 μB/cell. For the energy, the calculation gives -7.18 eV/atom. The offset from the most stable computed form comes out at 0 meV/atom. The formation enthalpy at 0 K comes out at 1.7 kcal/mol of atoms.

A relaxed Ca2GdY crystal, computed with PBE.

Cell lengths 3.5994, 3.5994, 39.1511 Å; angles 90.00, 90.00, 120.00 degrees
Closest atoms and distances in Å follow each position.
Space group R-3m (No. 166, hexagonal axes)
Asymmetric unit:
Ca: 0.0000 0.0000 0.0875 [6 per cell]  1 Y 3.43, 6 Ca 3.60, 3 Gd 3.73
Gd: 0.0000 0.0000 0.5000 [3 per cell]  6 Gd 3.60, 6 Ca 3.73
Y: 0.0000 0.0000 0.0000 [3 per cell]  2 Ca 3.43, 6 Y 3.60

Output
The value obtained for the density is 3.70 Mg/m³. Its spin magnetization is 21.6 μB/cell. For the energy, the calculation gives -5.90 eV/atom. The offset from the most stable computed form comes out at 89 meV/atom. The formation enthalpy at 0 K comes out at 5.4 kcal/mol of atoms.

A relaxed CaGd2Zn crystal, computed with PBE.

Cell lengths 4.9014, 4.9014, 4.7255 Å; angles 90.00, 90.00, 90.00 degrees
Closest atoms and distances in Å follow each position.
Space group P4/mmm (No. 123)
Asymmetric unit:
Ca: 0.0000 0.0000 0.0000 [1 per cell]  8 Gd 3.40, 4 Zn 3.47
Gd: 0.0000 0.5000 0.5000 [2 per cell]  4 Ca 3.40, 4 Zn 3.40, 4 Gd 3.47
Zn: 0.5000 0.5000 0.0000 [1 per cell]  8 Gd 3.40, 4 Ca 3.47

Output
The value obtained for the density is 6.14 Mg/m³. Its spin magnetization is 15.3 μB/cell. For the energy, the calculation gives -7.84 eV/atom. The offset from the most stable computed form comes out at 154 meV/atom. The formation enthalpy at 0 K comes out at 0.5 kcal/mol of atoms.

A relaxed CaGd2Zn crystal, computed with PBE.

Cell lengths 3.6439, 3.6439, 9.1175 Å; angles 90.00, 90.00, 90.00 degrees
Closest atoms and distances in Å follow each position.
Space group P4/mmm (No. 123)
Asymmetric unit:
Ca: 0.0000 0.0000 0.0000 [1 per cell]  4 Ca 3.64, 8 Gd 3.85
Gd: 0.5000 0.5000 0.3132 [2 per cell]  4 Zn 3.09, 1 Gd 3.41
Zn: 0.0000 0.0000 0.5000 [1 per cell]  8 Gd 3.09

Output
The value obtained for the density is 5.76 Mg/m³. Its spin magnetization is 15.2 μB/cell. For the energy, the calculation gives -7.99 eV/atom. The offset from the most stable computed form comes out at 0 meV/atom. The formation enthalpy at 0 K comes out at -3.0 kcal/mol of atoms.

A relaxed Ca2GdZn crystal, computed with PBE.

Cell lengths 3.6617, 3.6617, 9.2609 Å; angles 90.00, 90.00, 90.00 degrees
Closest atoms and distances in Å follow each position.
Space group P4/mmm (No. 123)
Asymmetric unit:
Ca: 0.0000 0.0000 0.1983 [2 per cell]  4 Zn 3.17
Gd: 0.5000 0.5000 0.5000 [1 per cell]  4 Gd 3.66, 8 Ca 3.81
Zn: 0.5000 0.5000 0.0000 [1 per cell]  8 Ca 3.17

Output
The value obtained for the density is 4.05 Mg/m³. Its spin magnetization is 8.5 μB/cell. For the energy, the calculation gives -4.89 eV/atom. The offset from the most stable computed form comes out at 0 meV/atom. The formation enthalpy at 0 K comes out at -1.1 kcal/mol of atoms.

A relaxed CaGd2Zn crystal, computed with PBE.

Cell lengths 3.6034, 3.6034, 33.9247 Å; angles 90.00, 90.00, 120.00 degrees
Closest atoms and distances in Å follow each position.
Space group R-3m (No. 166, hexagonal axes)
Asymmetric unit:
Ca: 0.0000 0.0000 0.0000 [3 per cell]  2 Gd 3.47, 6 Ca 3.60
Gd: 0.0000 0.0000 0.1022 [6 per cell]  3 Zn 3.02
Zn: 0.0000 0.0000 0.5000 [3 per cell]  6 Gd 3.02

Output
The value obtained for the density is 5.48 Mg/m³. Its spin magnetization is 46.9 μB/cell. For the energy, the calculation gives -7.77 eV/atom. The offset from the most stable computed form comes out at 221 meV/atom. The formation enthalpy at 0 K comes out at 2.0 kcal/mol of atoms.

A relaxed Ca2GdZn crystal, computed with PBE.

Cell lengths 3.6139, 3.6139, 34.7865 Å; angles 90.00, 90.00, 120.00 degrees
Closest atoms and distances in Å follow each position.
Space group R-3m (No. 166, hexagonal axes)
Asymmetric unit:
Ca: 0.0000 0.0000 0.1003 [6 per cell]  3 Zn 3.11
Gd: 0.0000 0.0000 0.0000 [3 per cell]  2 Ca 3.49, 6 Gd 3.61
Zn: 0.0000 0.0000 0.5000 [3 per cell]  6 Ca 3.11

Output
The value obtained for the density is 3.83 Mg/m³. Its spin magnetization is 24.0 μB/cell. For the energy, the calculation gives -4.67 eV/atom. The offset from the most stable computed form comes out at 215 meV/atom. The formation enthalpy at 0 K comes out at 3.9 kcal/mol of atoms.

A relaxed Ca2GdZr crystal, computed with PBE.

Cell lengths 3.4153, 3.4153, 38.2143 Å; angles 90.00, 90.00, 120.00 degrees
Closest atoms and distances in Å follow each position.
Space group R-3m (No. 166, hexagonal axes)
Asymmetric unit:
Ca: 0.0000 0.0000 0.0849 [6 per cell]  1 Zr 3.24, 6 Ca 3.42
Gd: 0.0000 0.0000 0.5000 [3 per cell]  6 Gd 3.42, 6 Ca 3.69
Zr: 0.0000 0.0000 0.0000 [3 per cell]  2 Ca 3.24, 6 Zr 3.42

Output
The value obtained for the density is 4.24 Mg/m³. Its spin magnetization is 24.0 μB/cell. For the energy, the calculation gives -6.21 eV/atom. The formation enthalpy at 0 K comes out at 10.3 kcal/mol of atoms.

A relaxed CaGd2Zr crystal, computed with PBE.

Cell lengths 3.4907, 3.4907, 10.3703 Å; angles 90.00, 90.00, 90.00 degrees
Closest atoms and distances in Å follow each position.
Space group P4/mmm (No. 123)
Asymmetric unit:
Ca: 0.0000 0.0000 0.0000 [1 per cell]  4 Ca 3.49, 8 Gd 3.85
Gd: 0.5000 0.5000 0.2849 [2 per cell]  4 Zr 3.33, 4 Gd 3.49
Zr: 0.0000 0.0000 0.5000 [1 per cell]  8 Gd 3.33, 4 Zr 3.49

Output
The value obtained for the density is 5.86 Mg/m³. Its spin magnetization is 15.1 μB/cell. For the energy, the calculation gives -9.58 eV/atom. The offset from the most stable computed form comes out at 0 meV/atom. The formation enthalpy at 0 K comes out at 2.2 kcal/mol of atoms.

A relaxed CaGdZr crystal, computed with PBE.

Cell lengths 3.4220, 3.4220, 15.7794 Å; angles 90.00, 90.00, 90.00 degrees
Closest atoms and distances in Å follow each position.
Space group I4mm (No. 107)
Asymmetric unit:
Ca: 0.0000 0.0000 0.0000 [2 per cell]  4 Ca 3.42, 4 Zr 3.57
Gd: 0.0000 0.0000 0.3049 [2 per cell]  4 Zr 3.26, 4 Gd 3.42
Zr: 0.0000 0.0000 0.6664 [2 per cell]  4 Gd 3.26, 4 Zr 3.42, 4 Ca 3.57

Output
The value obtained for the density is 5.19 Mg/m³. Its spin magnetization is 14.5 μB/cell. For the energy, the calculation gives -8.04 eV/atom. The formation enthalpy at 0 K comes out at 3.9 kcal/mol of atoms.

A relaxed CaGd2Zr crystal, computed with PBE.

Cell lengths 3.4760, 3.4760, 36.3436 Å; angles 90.00, 90.00, 120.00 degrees
Closest atoms and distances in Å follow each position.
Space group R-3m (No. 166, hexagonal axes)
Asymmetric unit:
Ca: 0.0000 0.0000 0.0000 [3 per cell]  2 Gd 3.42, 6 Ca 3.48
Gd: 0.0000 0.0000 0.0942 [6 per cell]  3 Zr 3.31, 1 Ca 3.42, 6 Gd 3.48
Zr: 0.0000 0.0000 0.5000 [3 per cell]  6 Gd 3.31, 6 Zr 3.48

Output
The value obtained for the density is 5.84 Mg/m³. Its spin magnetization is 44.8 μB/cell. For the energy, the calculation gives -9.49 eV/atom. The offset from the most stable computed form comes out at 97 meV/atom. The formation enthalpy at 0 K comes out at 4.4 kcal/mol of atoms.